[1]
DFT (GGA-PBE) results for a relaxed structure of Tb8TmSc5.

Results
formation energy from the elements: 185 meV/atom

Lattice parameters (Å, degrees): 7.988 8.275 8.292 114.06 97.19 115.73
Atoms (fractional coordinates):
Tb 0.000 0.000 0.000
Tb 0.016 0.641 0.122
Tb 0.078 0.295 0.442
Tb 0.290 0.813 0.857
Tb 0.421 0.481 0.264
Tb 0.488 0.298 0.858
Tb 0.620 0.988 0.626
Tb 0.941 0.813 0.520
Tm 0.555 0.604 0.706
Sc 0.121 0.344 0.847
Sc 0.386 0.118 0.365
Sc 0.645 0.835 0.178
Sc 0.725 0.242 0.158
Sc 0.829 0.437 0.651



[2]
DFT (GGA-PBE) results for a relaxed structure of SmTeCl.

Results
ΔE_f (raw): -1.70 eV/atom

Lattice parameters (Å, degrees): 4.342 4.342 6.910 90.00 90.00 120.00
Atoms (fractional coordinates):
Sm 0.000 0.000 0.000
Te 0.333 0.667 0.750
Cl 0.667 0.333 0.214



[3]
DFT (GGA-PBE) results for a relaxed structure of Fe3PIr.

Results
formation energy from the elements: 682 meV/atom
relative energy among the computed polymorphs: 0.000 eV/atom

Lattice parameters (Å, degrees): 4.037 4.037 4.037 90.00 90.00 90.00
Atoms (fractional coordinates):
Fe 0.000 0.000 0.500
Fe 0.000 0.500 0.000
Fe 0.500 0.000 0.000
P 0.000 0.000 0.000
Ir 0.500 0.500 0.500



no.,total magnetic moment (μB per formula unit)
1,0.00
2,0.00
3,0.00